Here is a PBEsol-optimized structure of BeRuN2 from Alexandria. Energies are from meta-GGA SCAN.

Cell lengths 2.8294, 2.8294, 5.6109 Å; angles 75.40, 75.40, 60.00 degrees
Atoms (fractional coordinates):
Ru (0.0000, 0.0000, 0.0000)
Be (0.5000, 0.5000, 0.5000)
N (0.8874, 0.8874, 0.3377)
N (0.1126, 0.1126, 0.6623)

Summary:
Formation energy from raw total energies = 0.523 eV per atom
Total magnetization = 0.000 μB per formula unit
Density = 6.16 g/cm³